A plane-wave DFT calculation with PBE was carried out for an optimized crystal structure of NaSi2Os2.

The structure in POSCAR format:
```
NaSi2Os2
1.0
-2.041 2.041 5.095
2.041 -2.041 5.095
2.041 2.041 -5.095
Na Si Os
1 2 2
direct
0.000 0.000 0.000 Na
0.250 0.750 0.500 Si
0.750 0.250 0.500 Si
0.379 0.379 0.000 Os
0.621 0.621 0.000 Os
```

Calculated values
For the total magnetization, the calculation gives 0.0 μB per cell. The crystal system is tetragonal. The formation energy (no corrections) comes out at 0.044 eV per atom. The density of states at the Fermi level is 0.9096 states/eV/atom.

***

A plane-wave DFT calculation with PBE was carried out for an optimized crystal structure of BeInOs.

The structure in POSCAR format:
```
BeInOs
1.0
2.916 0.000 0.000
-1.458 2.526 0.000
0.000 0.000 6.278
Be In Os
1 1 1
direct
0.000 0.000 0.000 Be
0.333 0.667 0.365 In
0.667 0.333 0.742 Os
```

Calculated values
For the total magnetization, the calculation gives 0.0 μB per cell. The calculation puts the energy above the most stable polymorph in this dataset at 1.07 eV/f.u. The crystal system is trigonal. The density of states at the Fermi level is 0.8120 states/eV/atom.

***

A plane-wave DFT calculation with PBE was carried out for an optimized crystal structure of Pb2N2F3.

The structure in POSCAR format:
```
Pb2N2F3
1.0
3.981 0.000 0.000
-0.012 5.014 0.000
-1.986 -0.716 6.987
Pb N F
2 2 3
direct
0.128 0.051 0.256 Pb
0.872 0.949 0.744 Pb
0.041 0.519 0.083 N
0.959 0.481 0.917 N
0.277 0.821 0.554 F
0.500 0.000 0.000 F
0.723 0.179 0.446 F
```

Calculated values
For the total magnetization, the calculation gives 0.0 μB per cell. The crystal system is triclinic. The formation energy (no corrections) comes out at -1.325 eV per atom. The density of states at the Fermi level is 0.1342 states/eV/atom.

***

Number 2 is which compound? BeInOs

***

Which value of density of states at the Fermi level does entry 2 give? 0.8120 states/eV/atom

***

Repeat the second record exactly.
A plane-wave DFT calculation with PBE was carried out for an optimized crystal structure of BeInOs.

The structure in POSCAR format:
```
BeInOs
1.0
2.916 0.000 0.000
-1.458 2.526 0.000
0.000 0.000 6.278
Be In Os
1 1 1
direct
0.000 0.000 0.000 Be
0.333 0.667 0.365 In
0.667 0.333 0.742 Os
```

Calculated values
For the total magnetization, the calculation gives 0.0 μB per cell. The calculation puts the energy above the most stable polymorph in this dataset at 1.07 eV/f.u. The crystal system is trigonal. The density of states at the Fermi level is 0.8120 states/eV/atom.

***

What did the first record say?
A plane-wave DFT calculation with PBE was carried out for an optimized crystal structure of NaSi2Os2.

The structure in POSCAR format:
```
NaSi2Os2
1.0
-2.041 2.041 5.095
2.041 -2.041 5.095
2.041 2.041 -5.095
Na Si Os
1 2 2
direct
0.000 0.000 0.000 Na
0.250 0.750 0.500 Si
0.750 0.250 0.500 Si
0.379 0.379 0.000 Os
0.621 0.621 0.000 Os
```

Calculated values
For the total magnetization, the calculation gives 0.0 μB per cell. The crystal system is tetragonal. The formation energy (no corrections) comes out at 0.044 eV per atom. The density of states at the Fermi level is 0.9096 states/eV/atom.